1.
Computed, not measured: crystalline Tl2NiCl at its relaxed geometry at the PBE-GGA level of DFT.

```
Tl2NiCl
1.0
7.830 0.189 0.234
6.983 3.547 0.234
-0.100 -0.025 3.849
Cl Ni Tl
1 1 2
Direct
0.548 0.548 0.618 Cl
0.278 0.278 0.130 Ni
0.936 0.936 0.121 Tl
0.738 0.738 0.631 Tl
```

Uncorrected formation energy ... -38 kJ/mol of formula units
ΔE to the lowest computed polymorph ... 0.027 eV per atom
Space-group type ... No. 8
Density of states at the Fermi level ... 1.5 states/eV/cell
Raw total energy ... -12.8 eV per formula unit
Magnetization ... 0.0 μB/f.u.

=====

2.
Computed, not measured: crystalline AgPbSeN2 at its relaxed geometry at the PBE-GGA level of DFT.

```
AgPbSeN2
1.0
-3.434 2.535 -0.558
-1.794 -2.987 -2.528
-2.368 -2.252 4.341
Pb Se Ag N
1 1 1 2
Direct
0.500 0.500 0.500 Pb
0.000 0.000 0.500 Se
0.000 0.000 0.000 Ag
0.000 0.500 0.000 N
0.500 0.000 0.000 N
```

Uncorrected formation energy ... 701 kJ/mol of formula units
ΔE to the lowest computed polymorph ... 0.000 eV per atom
Space-group type ... No. 123
Density of states at the Fermi level ... 2.0 states/eV/cell
Raw total energy ... -19.4 eV per formula unit
Magnetization ... 3.4 μB/f.u.

=====

3.
Computed, not measured: crystalline Ag3GeH at its relaxed geometry at the PBE-GGA level of DFT.

```
Ag3GeH
1.0
-3.129 0.152 -2.853
0.787 -4.021 -1.077
-2.746 -1.325 2.942
H Ge Ag
1 1 3
Direct
0.000 0.000 0.000 H
0.500 0.500 0.500 Ge
0.000 0.500 0.000 Ag
0.000 0.000 0.500 Ag
0.500 0.000 0.000 Ag
```

ΔE to the lowest computed polymorph ... 0.000 eV per atom
Space-group type ... No. 221
Density of states at the Fermi level ... 1.3 states/eV/cell
Raw total energy ... -15.2 eV per formula unit
Magnetization ... 0.0 μB/f.u.

=====

4.
Computed, not measured: crystalline EuHBr at its relaxed geometry at the PBE-GGA level of DFT.

```
EuHBr
1.0
-2.422 -3.718 -0.317
1.058 -0.359 -3.879
2.256 -1.714 2.875
Eu H Br
1 1 1
Direct
0.167 0.000 0.000 Eu
0.167 0.333 0.667 H
0.667 0.667 0.333 Br
```

Space-group type ... No. 187
Raw total energy ... -19.2 eV per formula unit
Magnetization ... 7.0 μB/f.u.

=====

5.
Computed, not measured: crystalline LaAsO2 at its relaxed geometry at the PBE-GGA level of DFT.

```
LaAsO2
1.0
5.146 4.104 0.527
6.569 0.674 -0.026
5.281 2.663 -2.937
As O La
1 2 1
Direct
0.000 0.000 0.000 As
0.889 0.889 0.889 O
0.111 0.111 0.111 O
0.500 0.500 0.500 La
```

Uncorrected formation energy ... -801 kJ/mol of formula units
Space-group type ... No. 166
Density of states at the Fermi level ... 1.0 states/eV/cell
Raw total energy ... -27.8 eV per formula unit
Magnetization ... 0.0 μB/f.u.

=====

6.
Computed, not measured: crystalline NpRh at its relaxed geometry at the PBE-GGA level of DFT.

```
NpRh
1.0
-0.890 -1.251 2.348
3.712 0.832 1.850
-1.813 5.214 1.291
Np Rh
2 2
Direct
0.987 0.250 0.619 Np
0.013 0.750 0.381 Np
0.704 0.750 0.878 Rh
0.296 0.250 0.122 Rh
```

Space-group type ... No. 11
Density of states at the Fermi level ... 7.9 states/eV/cell
Raw total energy ... -20.8 eV per formula unit
Magnetization ... 0.0 μB/f.u.